No. 1
The following is a DFT calculation (PBE) of PmCd4Pd2 after structural relaxation.

Summary:
- DFT formation energy: -417 meV per atom

Lattice parameters (Å, degrees): 4.354 8.369 8.369 90.00 90.00 90.00
Positions (direct):
Pm 0.500 0.000 0.000
Pm 0.000 0.500 0.500
Cd 0.000 0.101 0.346
Cd 0.000 0.899 0.654
Cd 0.500 0.154 0.601
Cd 0.500 0.846 0.399
Cd 0.500 0.399 0.846
Cd 0.500 0.601 0.154
Cd 0.000 0.346 0.101
Cd 0.000 0.654 0.899
Pd 0.000 0.188 0.812
Pd 0.000 0.812 0.188
Pd 0.500 0.688 0.688
Pd 0.500 0.312 0.312

=====

No. 2
The following is a DFT calculation (PBE) of PmCd6Pd6 after structural relaxation.

Summary:
- DFT formation energy: -319 meV per atom

Lattice parameters (Å, degrees): 5.666 5.666 9.104 90.00 90.00 120.00
Positions (direct):
Pm 0.000 0.000 0.000
Cd 0.000 0.500 0.748
Cd 0.500 0.000 0.748
Cd 0.500 0.500 0.748
Cd 0.500 0.000 0.252
Cd 0.000 0.500 0.252
Cd 0.500 0.500 0.252
Pd 0.000 0.000 0.654
Pd 0.000 0.000 0.346
Pd 0.333 0.667 0.000
Pd 0.667 0.333 0.000
Pd 0.333 0.667 0.500
Pd 0.667 0.333 0.500